{"formula": "Tb3Tl2", "functional": "PBE", "state": "optimized geometry", "volume_a3_per_atom": 29.5, "formation_enthalpy_0k_ev_per_atom": -0.165, "e_above_lowest_polymorph_mev_per_atom": 114, "total_energy_ev_per_cell": -38.9, "density_g_cm3": 9.98, "cell": [[5.785, 0.000, -2.003], [-0.693, 5.743, -2.003], [-0.133, -0.150, 8.973]], "species": ["Tb", "Tb", "Tb", "Tb", "Tb", "Tb", "Tl", "Tl", "Tl", "Tl"], "frac_coords": [[0.507, 0.007, 0.015], [0.632, 0.382, 0.765], [0.132, 0.382, 0.265], [0.757, 0.757, 0.515], [0.132, 0.882, 0.265], [0.132, 0.382, 0.765], [0.953, 0.953, 0.906], [0.703, 0.203, 0.406], [0.562, 0.562, 0.123], [0.312, 0.812, 0.623]]}



{"formula": "LaCdSeBr2", "functional": "PBE", "state": "optimized geometry", "volume_a3_per_atom": 40.0, "raw_formation_energy_ev_per_atom": -1.06, "e_above_lowest_polymorph_mev_per_atom": 0, "total_energy_ev_per_cell": -18.0, "density_g_cm3": 4.07, "cell": [[5.819, 0.000, 0.000], [0.000, 5.819, 0.000], [0.000, 0.000, 5.910]], "species": ["Br", "Br", "Cd", "Se", "La"], "frac_coords": [[0.500, 0.000, 0.000], [0.000, 0.500, 0.000], [0.500, 0.500, 0.500], [0.000, 0.000, 0.500], [0.000, 0.000, 0.000]]}



{"formula": "Pr2Al3Ir", "functional": "PBE", "state": "optimized geometry", "volume_a3_per_atom": 20.6, "formation_enthalpy_0k_ev_per_atom": -0.605, "total_energy_ev_per_cell": -33.3, "density_g_cm3": 7.47, "cell": [[-5.046, -2.467, 0.344], [3.941, -1.112, 3.859], [0.555, 5.430, 0.999]], "species": ["Ir", "Al", "Al", "Al", "Pr", "Pr"], "frac_coords": [[0.000, 0.000, 0.000], [0.000, 0.000, 0.500], [0.500, 0.500, 0.500], [0.500, 0.000, 0.500], [0.253, 0.626, 0.879], [0.747, 0.374, 0.121]]}



{"formula": "Li2Ga6Ru", "functional": "PBE", "state": "optimized geometry", "volume_a3_per_atom": 17.6, "formation_enthalpy_0k_ev_per_atom": -0.183, "total_energy_ev_per_cell": -32.9, "density_g_cm3": 5.58, "cell": [[-2.729, 5.104, 2.080], [-2.123, 0.879, -4.951], [-4.876, -2.087, -1.286]], "species": ["Li", "Li", "Ga", "Ga", "Ga", "Ga", "Ga", "Ga", "Ru"], "frac_coords": [[0.077, 0.333, 0.333], [0.923, 0.667, 0.667], [0.685, 0.170, 0.170], [0.685, 0.170, 0.660], [0.315, 0.340, 0.830], [0.315, 0.830, 0.830], [0.315, 0.830, 0.340], [0.685, 0.660, 0.170], [0.000, 0.000, 0.000]]}



{"formula": "PmSb2Pb", "functional": "PBE", "state": "optimized geometry", "volume_a3_per_atom": 29.0, "raw_formation_energy_ev_per_atom": -0.50, "e_above_lowest_polymorph_mev_per_atom": 8, "total_energy_ev_per_cell": -37.4, "density_g_cm3": 8.52, "cell": [[6.203, -0.207, 2.677], [-2.683, 5.878, 1.978], [0.688, -0.108, 6.721]], "species": ["Pm", "Pm", "Sb", "Sb", "Sb", "Sb", "Pb", "Pb"], "frac_coords": [[0.001, 0.251, 0.750], [0.999, 0.749, 0.250], [0.500, 0.250, 0.750], [0.000, 0.250, 0.250], [0.000, 0.750, 0.750], [0.500, 0.750, 0.250], [0.501, 0.250, 0.250], [0.499, 0.750, 0.750]]}



{"formula": "Pm8SmPb2", "functional": "PBE", "state": "optimized geometry", "volume_a3_per_atom": 37.9, "formation_enthalpy_0k_ev_per_atom": 0.208, "total_energy_ev_per_cell": -47.8, "density_g_cm3": 6.87, "cell": [[5.485, 0.462, 0.384], [0.730, 8.880, 0.194], [0.730, 1.814, 8.694]], "species": ["Pm", "Pm", "Pm", "Pm", "Pm", "Pm", "Pm", "Pm", "Pb", "Pb", "Sm"], "frac_coords": [[0.707, 0.585, 0.585], [0.211, 0.834, 0.368], [0.789, 0.166, 0.632], [0.293, 0.415, 0.415], [0.120, 0.766, 0.766], [0.880, 0.234, 0.234], [0.211, 0.368, 0.834], [0.789, 0.632, 0.166], [0.555, 0.874, 0.874], [0.445, 0.126, 0.126], [0.000, 0.000, 0.000]]}